Compound: Al2SiCl
Source: Alexandria via LeMat-Bulk
Functional: GGA-PBE
Structure: optimized geometry

abc: 4.840 4.840 2.994
angles: 90.00 90.00 90.00
Sites, in units of the cell vectors:
Si  0.000  0.500  0.500
Al  0.000  0.000  0.000
Al  0.500  0.500  0.000
Cl  0.500  0.000  0.500

Results
For the formation energy from raw total energies, the calculation gives 2.0 kcal/mol of atoms. As for the space-group type: P4/mmm. Its polymorph energy (0 for the lowest one) is 127.4 meV/atom. As for the calculated total energy: -3.60 eV/atom.



Compound: Ba3MgO
Source: Alexandria via LeMat-Bulk
Functional: GGA-PBE
Structure: optimized geometry

abc: 5.638 5.638 5.638
angles: 90.00 90.00 90.00
Sites, in units of the cell vectors:
Mg  0.500  0.500  0.500
Ba  0.000  0.500  0.000
Ba  0.000  0.000  0.500
Ba  0.500  0.000  0.000
O  0.000  0.000  0.000

Results
For the formation energy from raw total energies, the calculation gives -22.7 kcal/mol of atoms. As for the space-group type: Pm-3m. Its polymorph energy (0 for the lowest one) is 0.0 meV/atom. As for the calculated total energy: -3.45 eV/atom.



Compound: Ac2Pr2Tm3
Source: Alexandria via LeMat-Bulk
Functional: GGA-PBE
Structure: optimized geometry

abc: 6.403 9.797 6.406
angles: 40.06 99.34 89.83
Sites, in units of the cell vectors:
Ac  0.431  0.150  0.566
Ac  0.569  0.850  0.434
Pr  0.139  0.716  0.859
Pr  0.861  0.284  0.141
Tm  0.000  0.000  0.000
Tm  0.274  0.433  0.704
Tm  0.726  0.567  0.296

Results
As for the formation energy: 0.0534 eV per atom. As for the space-group type: P-1. As for the calculated total energy: -4.40 eV/atom.



| no. | spin magnetization (μB/f.u.) |
| --- | --- |
| 1 | 0.00 |
| 2 | 0.00 |
| 3 | 0.00 |